This record from Alexandria via LeMat-Bulk describes Sr2SiSb after structural relaxation. The functional is PBE-GGA.

Unit cell a=7.8322 b=7.8322 c=7.8322 alpha=90.00 beta=90.00 gamma=90.00
With the nearest neighbours (Å) after each atom.
Space group F-43m (No. 216)
One atom of each set of equivalent atoms:
Sr1 0.0000 0.0000 0.0000  4 Sb 3.39, 4 Sr 3.39
Sr2 0.2500 0.2500 0.2500  4 Sr 3.39, 4 Si 3.39
Si1 0.0000 0.0000 0.5000  4 Sb 3.39, 4 Sr 3.39
Sb1 0.2500 0.2500 0.7500  4 Sr 3.39, 4 Si 3.39

## Properties
M_tot ... 0.00 μB/f.u.
Offset from the most stable computed form ... 468 meV per atom

This record from Alexandria via LeMat-Bulk describes SrSiSb2 after structural relaxation. The functional is PBE-GGA.

Unit cell a=10.8544 b=3.9249 c=5.7149 alpha=90.00 beta=113.60 gamma=90.00
With the nearest neighbours (Å) after each atom.
Space group C2/m (No. 12)
One atom of each set of equivalent atoms:
Sr1 0.0000 0.0000 0.0000  4 Si 3.47, 8 Sb 3.52-3.58
Si1 0.0000 0.5000 0.5000  4 Sb 2.84
Sb1 0.2070 0.0000 0.6584  2 Si 2.84, 2 Sb 3.06

## Properties
M_tot ... 0.00 μB/f.u.
Electronic total energy ... -4.040 eV/atom

This record from Alexandria via LeMat-Bulk describes SrSiSb2 after structural relaxation. The functional is PBE-GGA.

Unit cell a=7.6477 b=7.6477 c=7.6477 alpha=90.00 beta=90.00 gamma=90.00
With the nearest neighbours (Å) after each atom.
Space group F-43m (No. 216)
One atom of each set of equivalent atoms:
Sr1 0.0000 0.0000 0.0000  4 Sb 3.31, 4 Si 3.31
Si1 0.2500 0.2500 0.2500  4 Sb 3.31, 4 Sr 3.31
Sb1 0.0000 0.0000 0.5000  4 Si 3.31, 4 Sb 3.31
Sb2 0.2500 0.2500 0.7500  4 Sb 3.31, 4 Sr 3.31

## Properties
M_tot ... 0.00 μB/f.u.
Electronic total energy ... -3.787 eV/atom

This record from Alexandria via LeMat-Bulk describes Sr3SiSb after structural relaxation. The functional is PBE-GGA.

Unit cell a=5.8622 b=5.8622 c=5.8622 alpha=90.00 beta=90.00 gamma=90.00
With the nearest neighbours (Å) after each atom.
Space group Pm-3m (No. 221)
One atom of each set of equivalent atoms:
Sr1 0.0000 0.0000 0.5000  2 Si 2.93
Si1 0.0000 0.0000 0.0000  6 Sr 2.93
Sb1 0.5000 0.5000 0.5000  12 Sr 4.15

## Properties
M_tot ... 0.00 μB/f.u.
Offset from the most stable computed form ... 0 meV per atom

This record from Alexandria via LeMat-Bulk describes Sr2SiSb after structural relaxation. The functional is PBE-GGA.

Unit cell a=5.1854 b=5.1854 c=4.4594 alpha=90.00 beta=90.00 gamma=90.00
With the nearest neighbours (Å) after each atom.
Space group P4/mmm (No. 123)
One atom of each set of equivalent atoms:
Sr1 0.0000 0.5000 0.0000  4 Sb 3.42, 4 Si 3.42, 4 Sr 3.67
Si1 0.0000 0.0000 0.5000  8 Sr 3.42, 4 Sb 3.67
Sb1 0.5000 0.5000 0.5000  8 Sr 3.42, 4 Si 3.67

## Properties
M_tot ... 0.00 μB/f.u.
Offset from the most stable computed form ... 5 meV per atom

This record from Alexandria via LeMat-Bulk describes Sr2SiSb after structural relaxation. The functional is PBE-GGA.

Unit cell a=5.3736 b=5.6575 c=8.9110 alpha=90.00 beta=90.00 gamma=90.00
With the nearest neighbours (Å) after each atom.
Space group Cmm2 (No. 35)
One atom of each set of equivalent atoms:
Sr1 0.0000 0.0000 0.0000  1 Sb 3.22, 2 Si 3.51
Sr2 0.0000 0.5000 0.3876  1 Si 3.21, 2 Sb 3.50
Si1 0.0000 0.5000 0.7472  4 Sb 2.86-2.99
Sb1 0.0000 0.0000 0.6386  4 Si 2.86-2.99

## Properties
M_tot ... 0.00 μB/f.u.
Offset from the most stable computed form ... 279 meV per atom

This record from Alexandria via LeMat-Bulk describes SrSiSb2 after structural relaxation. The functional is PBE-GGA.

Unit cell a=4.0746 b=4.0746 c=6.7092 alpha=90.00 beta=90.00 gamma=90.00
With the nearest neighbours (Å) after each atom.
Space group P4mm (No. 99)
One atom of each set of equivalent atoms:
Sr1 0.0000 0.0000 0.0000  6 Sb 3.21-3.50
Si1 0.5000 0.5000 0.6721  1 Sb 2.69
Sb1 0.0000 0.0000 0.5218  4 Si 3.05, 1 Sr 3.21, 4 Sb 3.34
Sb2 0.5000 0.5000 0.2709  1 Si 2.69

## Properties
M_tot ... 0.00 μB/f.u.
Electronic total energy ... -3.942 eV/atom

This record from Alexandria via LeMat-Bulk describes SrSiSb2 after structural relaxation. The functional is PBE-GGA.

Unit cell a=7.7586 b=7.7586 c=8.6062 alpha=90.00 beta=90.00 gamma=90.00
With the nearest neighbours (Å) after each atom.
Space group I-42d (No. 122)
One atom of each set of equivalent atoms:
Sr1 0.0000 0.0000 0.0000  4 Sb 3.38
Si1 0.0000 0.0000 0.5000  4 Sb 2.58
Sb1 0.1705 0.7500 0.6250  2 Si 2.58

## Properties
M_tot ... 0.00 μB/f.u.
Electronic total energy ... -4.170 eV/atom